[1]
The following is a SCAN calculation of a PBEsol-optimized structure of Sb2AuBr, from Alexandria via LeMat-Bulk.

The structure in POSCAR format:
```
Sb2AuBr
1.0
7.115 0.000 0.000
0.000 7.115 0.000
0.000 0.000 7.115
Sb Au Br
8 4 4
direct
0.250 0.250 0.250
0.250 0.250 0.750
0.250 0.750 0.250
0.250 0.750 0.750
0.750 0.250 0.250
0.750 0.250 0.750
0.750 0.750 0.250
0.750 0.750 0.750
0.000 0.000 0.000
0.000 0.500 0.500
0.500 0.000 0.500
0.500 0.500 0.000
0.000 0.000 0.500
0.000 0.500 0.000
0.500 0.000 0.000
0.500 0.500 0.500
```

=====

[2]
The following is a SCAN calculation of a PBEsol-optimized structure of Sb2AuBr, from Alexandria via LeMat-Bulk.

The structure in POSCAR format:
```
Sb2AuBr
1.0
6.063 0.000 0.000
0.000 6.063 0.000
0.000 0.000 14.356
Sb Au Br
8 4 4
direct
0.194 0.250 0.125
0.250 0.694 0.375
0.250 0.806 0.875
0.306 0.250 0.625
0.694 0.750 0.625
0.750 0.194 0.875
0.750 0.306 0.375
0.806 0.750 0.125
0.000 0.000 0.000
0.000 0.500 0.250
0.500 0.000 0.750
0.500 0.500 0.500
0.000 0.000 0.500
0.000 0.500 0.750
0.500 0.000 0.250
0.500 0.500 0.000
```

=====

[3]
The following is a SCAN calculation of a PBEsol-optimized structure of Sb2TeAuBr, from Alexandria via LeMat-Bulk.

The structure in POSCAR format:
```
Sb2TeAuBr
1.0
5.462 0.000 0.000
0.000 5.462 0.000
0.000 0.000 5.323
Sb Te Au Br
2 1 1 1
direct
0.000 0.500 0.000
0.500 0.000 0.000
0.000 0.000 0.500
0.500 0.500 0.500
0.000 0.000 0.000
```

=====

[4]
The following is a SCAN calculation of a PBEsol-optimized structure of ScAu2Br, from Alexandria via LeMat-Bulk.

The structure in POSCAR format:
```
ScAu2Br
1.0
6.828 0.000 0.000
0.000 6.828 0.000
0.000 0.000 6.828
Sc Au Br
4 8 4
direct
0.000 0.000 0.000
0.000 0.500 0.500
0.500 0.000 0.500
0.500 0.500 0.000
0.250 0.250 0.250
0.250 0.250 0.750
0.250 0.750 0.250
0.250 0.750 0.750
0.750 0.250 0.250
0.750 0.250 0.750
0.750 0.750 0.250
0.750 0.750 0.750
0.000 0.000 0.500
0.000 0.500 0.000
0.500 0.000 0.000
0.500 0.500 0.500
```

=====

[5]
The following is a SCAN calculation of a PBEsol-optimized structure of ScAuBr2, from Alexandria via LeMat-Bulk.

The structure in POSCAR format:
```
ScAuBr2
1.0
3.754 0.000 0.000
-1.877 3.251 0.000
0.000 0.000 25.871
Sc Au Br
3 3 6
direct
0.000 0.000 0.000
0.333 0.667 0.667
0.667 0.333 0.333
0.000 0.000 0.500
0.333 0.667 0.167
0.667 0.333 0.833
0.000 0.000 0.099
0.000 0.000 0.901
0.333 0.667 0.568
0.333 0.667 0.765
0.667 0.333 0.235
0.667 0.333 0.432
```

=====

[6]
The following is a SCAN calculation of a PBEsol-optimized structure of ScAu2Br, from Alexandria via LeMat-Bulk.

The structure in POSCAR format:
```
ScAu2Br
1.0
6.750 0.000 0.000
0.000 6.750 0.000
0.000 0.000 6.750
Sc Au Br
4 8 4
direct
0.000 0.000 0.000
0.000 0.500 0.500
0.500 0.000 0.500
0.500 0.500 0.000
0.000 0.000 0.500
0.000 0.500 0.000
0.250 0.250 0.250
0.250 0.750 0.750
0.500 0.000 0.000
0.500 0.500 0.500
0.750 0.250 0.750
0.750 0.750 0.250
0.250 0.250 0.750
0.250 0.750 0.250
0.750 0.250 0.250
0.750 0.750 0.750
```

=====

no.,formation energy without anion corrections (eV/atom),raw total energy (eV/atom),magnetization (μB per atom)
1,0.27,-40.518,0.0000
2,0.20,-40.589,0.0000
3,1.28,-38.796,0.0000
4,-0.31,-43.316,0.0000
5,-0.18,-30.756,0.0000
6,-0.48,-43.486,0.0000